Na2In2SbS6, optimized geometry, DFT GGA-PBE; space-group type = C2/m (12); total energy = -44.2 eV/cell; DOS(E_F) = 0.390 states/eV/atom; uncorrected formation energy = -654 meV/atom
1.0
-1.934 -2.674 -5.727
6.345 1.615 0.906
-0.229 -5.917 4.112
S Na In Sb
6 2 2 1
Direct
0.596 0.931 0.282
0.261 0.261 0.286
0.739 0.739 0.714
0.931 0.596 0.282
0.404 0.069 0.718
0.069 0.404 0.718
0.835 0.165 0.000
0.165 0.835 0.000
0.331 0.669 0.500
0.669 0.331 0.500
0.000 0.000 0.500

---

Na2InSbS4, optimized geometry, DFT GGA-PBE; space-group type = Pmn2_1 (31); total energy = -63.4 eV/cell; DOS(E_F) = 0.000 states/eV/atom; uncorrected formation energy = -713 meV/atom
1.0
-1.655 -2.188 5.327
-5.668 -3.854 -3.345
5.863 -7.523 -1.268
Sb In Na S
2 2 4 8
Direct
0.472 0.797 0.000
0.972 0.203 0.500
0.981 0.149 0.000
0.481 0.851 0.500
0.947 0.673 0.259
0.947 0.673 0.741
0.447 0.327 0.241
0.447 0.327 0.759
0.928 0.301 0.776
0.887 0.826 0.000
0.928 0.301 0.224
0.911 0.887 0.500
0.428 0.699 0.724
0.428 0.699 0.276
0.387 0.174 0.500
0.411 0.113 0.000

---

Na3In3SbS8, optimized geometry, DFT GGA-PBE; space-group type = R-3m (166); total energy = -60.1 eV/cell; DOS(E_F) = 0.193 states/eV/atom; uncorrected formation energy = -718 meV/atom
1.0
7.647 0.000 0.000
-3.824 6.625 -0.025
0.000 -4.395 6.821
S Na In Sb
8 3 3 1
Direct
0.261 0.522 0.283
0.760 0.520 0.281
0.240 0.480 0.719
0.739 0.478 0.717
0.740 0.979 0.719
0.760 0.021 0.281
0.240 0.979 0.719
0.260 0.021 0.281
0.000 0.000 0.000
0.000 0.500 0.000
0.500 0.500 0.000
0.000 0.500 0.500
0.500 0.000 0.500
0.500 0.500 0.500
0.000 0.000 0.500

---

Na2InSb2S6, optimized geometry, DFT GGA-PBE; space-group type = C2/m (12); total energy = -44.7 eV/cell; DOS(E_F) = 0.575 states/eV/atom; uncorrected formation energy = -574 meV/atom
1.0
-0.889 -5.284 -4.012
6.129 1.463 2.258
-2.856 -2.720 6.124
S Sb Na In
6 2 2 1
Direct
0.931 0.595 0.281
0.762 0.762 0.721
0.238 0.238 0.279
0.069 0.405 0.719
0.405 0.069 0.719
0.595 0.931 0.281
0.669 0.331 0.500
0.331 0.669 0.500
0.831 0.169 0.000
0.169 0.831 0.000
0.000 0.000 0.500

---

Na3ScIn3S8, optimized geometry, DFT GGA-PBE; space-group type = C2/m (12); total energy = -65.5 eV/cell; DOS(E_F) = 0.774 states/eV/atom; uncorrected formation energy = -929 meV/atom
1.0
7.560 0.000 0.000
-3.780 6.549 -0.025
0.000 -4.341 6.895
S In Sc Na
8 3 1 3
Direct
0.740 0.480 0.718
0.745 0.980 0.716
0.255 0.020 0.284
0.765 0.529 0.284
0.235 0.471 0.716
0.764 0.020 0.284
0.236 0.980 0.716
0.260 0.520 0.282
0.000 0.500 0.500
0.500 0.000 0.500
0.500 0.500 0.500
0.000 0.000 0.500
0.500 0.500 0.000
0.000 0.500 0.000
0.000 0.000 0.000

---

Na3Sc3InS8, optimized geometry, DFT GGA-PBE; space-group type = C2/m (12); total energy = -79.9 eV/cell; DOS(E_F) = 0.488 states/eV/atom; uncorrected formation energy = -1410 meV/atom
1.0
7.462 0.000 0.000
-3.731 6.478 -0.028
0.000 -4.297 6.785
Sc S Na In
3 8 3 1
Direct
0.500 0.500 0.500
0.500 0.000 0.500
0.000 0.500 0.500
0.243 0.975 0.718
0.269 0.025 0.282
0.757 0.514 0.282
0.757 0.025 0.282
0.261 0.523 0.284
0.731 0.975 0.718
0.243 0.486 0.718
0.739 0.477 0.716
0.500 0.500 0.000
0.000 0.000 0.000
0.000 0.500 0.000
0.000 0.000 0.500

---

NaScIn4S8, optimized geometry, DFT GGA-PBE; space-group type = R3m (160); total energy = -63.6 eV/cell; uncorrected formation energy = -853 meV/atom
1.0
-6.823 -3.120 2.180
-1.497 -1.221 7.571
-5.287 4.356 3.689
In S Sc Na
4 8 1 1
Direct
0.005 0.005 0.508
0.482 0.005 0.508
0.623 0.623 0.130
0.005 0.482 0.508
0.760 0.760 0.721
0.762 0.222 0.254
0.222 0.762 0.254
0.780 0.237 0.745
0.239 0.239 0.282
0.237 0.237 0.745
0.237 0.780 0.745
0.762 0.762 0.254
0.008 0.008 0.975
0.376 0.376 0.872

---

NaInSeS, optimized geometry, DFT GGA-PBE; space-group type = Cm (8); total energy = -14.6 eV/cell; DOS(E_F) = 0.137 states/eV/atom; uncorrected formation energy = -728 meV/atom
1.0
-0.123 2.109 -3.703
-3.540 -1.805 1.545
-0.380 5.497 5.626
In S Na Se
1 1 1 1
Direct
0.704 0.178 0.882
0.494 0.073 0.567
0.741 0.697 0.438
0.148 0.899 0.047